[1]
First-principles (PBE) data for a geometry-optimized TbPrDyHg structure, as listed in Alexandria.

Computed properties:
- energy relative to the elements (eV per atom) = -0.053
- space group = No. 216
- energy above the lowest structure with this stoichiometry (meV/atom) = 183
- ρ (Mg/m³) = 9.43

a b c (Å): 5.487 5.487 5.487
angles (deg): 60.00 60.00 60.00
Element x y z (fractional)
Pr: 0.500 0.500 0.500
Tb: 0.750 0.750 0.750
Hg: 0.250 0.250 0.250
Dy: 0.000 0.000 0.000



[2]
First-principles (PBE) data for a geometry-optimized TbPrDyHg structure, as listed in Alexandria.

Computed properties:
- energy relative to the elements (eV per atom) = -0.236
- space group = No. 99
- energy above the lowest structure with this stoichiometry (meV/atom) = 0
- ρ (Mg/m³) = 9.18

a b c (Å): 3.677 3.677 8.876
angles (deg): 90.00 90.00 90.00
Element x y z (fractional)
Tb: 0.500 0.500 0.787
Pr: 0.000 0.000 0.072
Dy: 0.500 0.500 0.357
Hg: 0.000 0.000 0.569



[3]
First-principles (PBE) data for a geometry-optimized Pr2DyHgTe5 structure, as listed in Alexandria.

Computed properties:
- space group = No. 36
- ρ (Mg/m³) = 7.43
- E_form (uncorrected) (eV per atom) = -1.116

a b c (Å): 4.407 9.819 13.593
angles (deg): 90.00 90.00 102.97
Element x y z (fractional)
Pr: 0.873 0.745 0.803
Pr: 0.120 0.240 0.683
Pr: 0.127 0.255 0.303
Pr: 0.880 0.760 0.183
Dy: 0.809 0.617 0.503
Dy: 0.191 0.383 0.003
Hg: 0.564 0.128 0.966
Hg: 0.436 0.872 0.466
Te: 0.354 0.709 0.998
Te: 0.700 0.401 0.836
Te: 0.503 0.006 0.779
Te: 0.291 0.582 0.662
Te: 0.960 0.919 0.593
Te: 0.646 0.291 0.498
Te: 0.300 0.599 0.336
Te: 0.497 0.994 0.279
Te: 0.709 0.418 0.162
Te: 0.040 0.081 0.093



[4]
First-principles (PBE) data for a geometry-optimized PrDy2ThHg4 structure, as listed in Alexandria.

Computed properties:
- energy relative to the elements (eV per atom) = -0.391
- space group = No. 166
- ρ (Mg/m³) = 11.44

a b c (Å): 5.359 5.359 9.289
angles (deg): 73.23 73.23 60.00
Element x y z (fractional)
Pr: 0.000 0.000 0.000
Dy: 0.751 0.751 0.747
Dy: 0.249 0.249 0.253
Th: 0.500 0.500 0.500
Hg: 0.375 0.375 0.875
Hg: 0.875 0.875 0.375
Hg: 0.125 0.125 0.625
Hg: 0.625 0.625 0.125



[5]
First-principles (PBE) data for a geometry-optimized PrDyTlHg structure, as listed in Alexandria.

Computed properties:
- energy relative to the elements (eV per atom) = -0.426
- space group = No. 99
- energy above the lowest structure with this stoichiometry (meV/atom) = 0
- ρ (Mg/m³) = 10.44

a b c (Å): 3.812 3.812 7.749
angles (deg): 90.00 90.00 90.00
Element x y z (fractional)
Pr: 0.500 0.500 0.113
Dy: 0.500 0.500 0.595
Tl: 0.000 0.000 0.842
Hg: 0.000 0.000 0.378



[6]
First-principles (PBE) data for a geometry-optimized PrDyTlHg structure, as listed in Alexandria.

Computed properties:
- energy relative to the elements (eV per atom) = -0.414
- space group = No. 216
- energy above the lowest structure with this stoichiometry (meV/atom) = 12
- ρ (Mg/m³) = 10.41

a b c (Å): 5.426 5.426 5.426
angles (deg): 60.00 60.00 60.00
Element x y z (fractional)
Pr: 0.750 0.750 0.750
Tl: 0.000 0.000 0.000
Hg: 0.500 0.500 0.500
Dy: 0.250 0.250 0.250



[7]
First-principles (PBE) data for a geometry-optimized PrDy2Tl2Hg2 structure, as listed in Alexandria.

Computed properties:
- energy relative to the elements (eV per atom) = -0.229
- space group = No. 166
- ρ (Mg/m³) = 10.80

a b c (Å): 5.022 5.022 9.437
angles (deg): 74.57 74.57 60.00
Element x y z (fractional)
Pr: 0.000 0.000 0.000
Dy: 0.133 0.133 0.600
Dy: 0.867 0.867 0.400
Tl: 0.731 0.731 0.808
Tl: 0.269 0.269 0.192
Hg: 0.563 0.563 0.312
Hg: 0.437 0.437 0.688



[8]
First-principles (PBE) data for a geometry-optimized PrDy2TmHg4 structure, as listed in Alexandria.

Computed properties:
- energy relative to the elements (eV per atom) = -0.466
- space group = No. 166
- ρ (Mg/m³) = 11.32

a b c (Å): 5.280 5.280 9.252
angles (deg): 73.42 73.42 60.00
Element x y z (fractional)
Pr: 0.000 0.000 0.000
Dy: 0.751 0.751 0.746
Dy: 0.249 0.249 0.254
Tm: 0.500 0.500 0.500
Hg: 0.379 0.379 0.862
Hg: 0.872 0.872 0.383
Hg: 0.128 0.128 0.617
Hg: 0.621 0.621 0.138



[9]
First-principles (PBE) data for a geometry-optimized PrDyYHg structure, as listed in Alexandria.

Computed properties:
- energy relative to the elements (eV per atom) = -0.062
- space group = No. 216
- energy above the lowest structure with this stoichiometry (meV/atom) = 178
- ρ (Mg/m³) = 8.42

a b c (Å): 5.490 5.490 5.490
angles (deg): 60.00 60.00 60.00
Element x y z (fractional)
Pr: 0.250 0.250 0.250
Y: 0.750 0.750 0.750
Hg: 0.000 0.000 0.000
Dy: 0.500 0.500 0.500



[10]
First-principles (PBE) data for a geometry-optimized PrDyYHg structure, as listed in Alexandria.

Computed properties:
- energy relative to the elements (eV per atom) = -0.241
- space group = No. 99
- energy above the lowest structure with this stoichiometry (meV/atom) = 0
- ρ (Mg/m³) = 8.21

a b c (Å): 3.671 3.671 8.903
angles (deg): 90.00 90.00 90.00
Element x y z (fractional)
Pr: 0.000 0.000 0.073
Dy: 0.500 0.500 0.357
Y: 0.500 0.500 0.785
Hg: 0.000 0.000 0.570



[11]
First-principles (PBE) data for a geometry-optimized Dy5Hg2Pt structure, as listed in Alexandria.

Computed properties:
- energy relative to the elements (eV per atom) = -0.588
- space group = No. 55
- energy above the lowest structure with this stoichiometry (meV/atom) = 0
- ρ (Mg/m³) = 11.01

a b c (Å): 4.904 7.014 12.351
angles (deg): 90.00 90.00 90.00
Element x y z (fractional)
Dy: 0.000 0.000 0.500
Dy: 0.000 0.500 0.000
Dy: 0.000 0.858 0.211
Dy: 0.000 0.142 0.789
Dy: 0.000 0.642 0.711
Dy: 0.000 0.358 0.289
Dy: 0.500 0.674 0.413
Dy: 0.500 0.326 0.587
Dy: 0.500 0.826 0.913
Dy: 0.500 0.174 0.087
Hg: 0.500 0.585 0.163
Hg: 0.500 0.415 0.837
Hg: 0.500 0.915 0.663
Hg: 0.500 0.085 0.337
Pt: 0.000 0.500 0.500
Pt: 0.000 0.000 0.000



[12]
First-principles (PBE) data for a geometry-optimized Dy5HgPt2 structure, as listed in Alexandria.

Computed properties:
- energy relative to the elements (eV per atom) = -0.823
- space group = No. 140
- ρ (Mg/m³) = 11.39

a b c (Å): 7.870 7.870 8.638
angles (deg): 117.10 117.10 90.00
Element x y z (fractional)
Dy: 0.522 0.702 0.724
Dy: 0.798 0.978 0.276
Dy: 0.000 0.000 0.000
Dy: 0.500 0.500 0.000
Dy: 0.202 0.022 0.724
Dy: 0.702 0.202 0.724
Dy: 0.022 0.522 0.724
Dy: 0.298 0.798 0.276
Dy: 0.978 0.478 0.276
Dy: 0.478 0.298 0.276
Hg: 0.750 0.750 0.500
Hg: 0.250 0.250 0.500
Pt: 0.137 0.363 0.000
Pt: 0.637 0.137 0.000
Pt: 0.363 0.863 0.000
Pt: 0.863 0.637 0.000



[13]
First-principles (PBE) data for a geometry-optimized Dy2HgPt structure, as listed in Alexandria.

Computed properties:
- energy relative to the elements (eV per atom) = -0.867
- space group = No. 123
- energy above the lowest structure with this stoichiometry (meV/atom) = 0
- ρ (Mg/m³) = 12.73

a b c (Å): 3.577 3.577 7.350
angles (deg): 90.00 90.00 90.00
Element x y z (fractional)
Hg: 0.500 0.500 0.500
Pt: 0.500 0.500 0.000
Dy: 0.000 0.000 0.774
Dy: 0.000 0.000 0.226



[14]
First-principles (PBE) data for a geometry-optimized Dy3HgPt2 structure, as listed in Alexandria.

Computed properties:
- energy relative to the elements (eV per atom) = -0.963
- space group = No. 65
- ρ (Mg/m³) = 13.19

a b c (Å): 3.535 5.090 7.962
angles (deg): 108.64 90.00 90.00
Element x y z (fractional)
Dy: 0.500 0.500 0.000
Dy: 0.500 0.824 0.647
Dy: 0.500 0.176 0.353
Hg: 0.000 0.000 0.000
Pt: 0.000 0.340 0.680
Pt: 0.000 0.660 0.320



[15]
First-principles (PBE) data for a geometry-optimized DyHgPt2 structure, as listed in Alexandria.

Computed properties:
- energy relative to the elements (eV per atom) = -0.693
- space group = No. 123
- energy above the lowest structure with this stoichiometry (meV/atom) = 57
- ρ (Mg/m³) = 16.10

a b c (Å): 4.004 4.405 4.405
angles (deg): 90.00 90.00 90.00
Element x y z (fractional)
Hg: 0.500 0.000 0.000
Pt: 0.000 0.000 0.500
Pt: 0.000 0.500 0.000
Dy: 0.500 0.500 0.500



[16]
First-principles (PBE) data for a geometry-optimized Dy11Hg9Pt4 structure, as listed in Alexandria.

Computed properties:
- energy relative to the elements (eV per atom) = -0.758
- space group = No. 65
- ρ (Mg/m³) = 12.49

a b c (Å): 3.651 13.160 13.160
angles (deg): 113.09 90.00 90.00
Element x y z (fractional)
Dy: 0.000 0.586 0.924
Dy: 0.000 0.414 0.076
Dy: 0.000 0.924 0.586
Dy: 0.000 0.076 0.414
Dy: 0.000 0.629 0.371
Dy: 0.000 0.371 0.629
Dy: 0.000 0.834 0.166
Dy: 0.000 0.166 0.834
Dy: 0.000 0.000 0.000
Dy: 0.000 0.700 0.700
Dy: 0.000 0.300 0.300
Hg: 0.500 0.633 0.151
Hg: 0.500 0.367 0.849
Hg: 0.500 0.151 0.633
Hg: 0.500 0.849 0.367
Hg: 0.500 0.789 0.938
Hg: 0.500 0.211 0.062
Hg: 0.500 0.938 0.789
Hg: 0.500 0.062 0.211
Hg: 0.500 0.500 0.500
Pt: 0.500 0.551 0.750
Pt: 0.500 0.449 0.250
Pt: 0.500 0.750 0.551
Pt: 0.500 0.250 0.449



[17]
First-principles (PBE) data for a geometry-optimized DyHg2Pt structure, as listed in Alexandria.

Computed properties:
- energy relative to the elements (eV per atom) = 0.210
- space group = No. 166
- ρ (Mg/m³) = 13.23

a b c (Å): 3.243 3.243 10.616
angles (deg): 81.21 81.21 60.00
Element x y z (fractional)
Hg: 0.097 0.097 0.710
Hg: 0.903 0.903 0.290
Pt: 0.500 0.500 0.500
Dy: 0.000 0.000 0.000



[18]
First-principles (PBE) data for a geometry-optimized Dy4Hg3Pt structure, as listed in Alexandria.

Computed properties:
- energy relative to the elements (eV per atom) = -0.675
- space group = No. 123
- ρ (Mg/m³) = 12.23

a b c (Å): 3.638 3.638 14.845
angles (deg): 90.00 90.00 90.00
Element x y z (fractional)
Hg: 0.500 0.500 0.246
Hg: 0.500 0.500 0.500
Hg: 0.500 0.500 0.754
Pt: 0.500 0.500 0.000
Dy: 0.000 0.000 0.890
Dy: 0.000 0.000 0.110
Dy: 0.000 0.000 0.370
Dy: 0.000 0.000 0.630



[19]
First-principles (PBE) data for a geometry-optimized Dy8HgPt2 structure, as listed in Alexandria.

Computed properties:
- energy relative to the elements (eV per atom) = -0.488
- space group = No. 12
- ρ (Mg/m³) = 10.21

a b c (Å): 5.518 7.974 7.974
angles (deg): 114.62 98.25 98.25
Element x y z (fractional)
Hg: 0.001 0.003 0.003
Pt: 0.500 0.700 0.307
Pt: 0.500 0.307 0.700
Dy: 0.582 0.335 0.083
Dy: 0.582 0.083 0.335
Dy: 0.191 0.388 0.388
Dy: 0.000 0.243 0.763
Dy: 0.000 0.763 0.243
Dy: 0.808 0.618 0.618
Dy: 0.418 0.923 0.672
Dy: 0.418 0.672 0.923



[20]
First-principles (PBE) data for a geometry-optimized Dy12Hg5Pt2 structure, as listed in Alexandria.

Computed properties:
- energy relative to the elements (eV per atom) = -0.397
- space group = No. 12
- ρ (Mg/m³) = 10.25

a b c (Å): 7.847 9.020 8.866
angles (deg): 104.83 90.00 115.78
Element x y z (fractional)
Dy: 0.902 0.804 0.160
Dy: 0.087 0.648 0.828
Dy: 0.562 0.648 0.828
Dy: 0.177 0.761 0.452
Dy: 0.584 0.761 0.452
Dy: 0.514 0.028 0.817
Dy: 0.486 0.972 0.183
Dy: 0.823 0.239 0.548
Dy: 0.416 0.239 0.548
Dy: 0.913 0.352 0.172
Dy: 0.438 0.352 0.172
Dy: 0.098 0.196 0.840
Hg: 0.237 0.475 0.539
Hg: 0.296 0.592 0.107
Hg: 0.000 0.000 0.500
Hg: 0.704 0.408 0.893
Hg: 0.763 0.525 0.461
Pt: 0.796 0.000 0.000
Pt: 0.204 0.000 0.000



[21]
First-principles (PBE) data for a geometry-optimized DyHgPt2 structure, as listed in Alexandria.

Computed properties:
- energy relative to the elements (eV per atom) = -0.731
- space group = No. 225
- energy above the lowest structure with this stoichiometry (meV/atom) = 19
- ρ (Mg/m³) = 15.89

a b c (Å): 4.811 4.811 4.811
angles (deg): 60.00 60.00 60.00
Element x y z (fractional)
Hg: 0.500 0.500 0.500
Pt: 0.250 0.250 0.250
Pt: 0.750 0.750 0.750
Dy: 0.000 0.000 0.000



[22]
First-principles (PBE) data for a geometry-optimized DyHg3Pt8 structure, as listed in Alexandria.

Computed properties:
- energy relative to the elements (eV per atom) = -0.306
- space group = No. 160
- ρ (Mg/m³) = 17.39

a b c (Å): 5.396 5.396 9.341
angles (deg): 73.21 73.21 60.00
Element x y z (fractional)
Dy: 0.876 0.876 0.371
Hg: 0.374 0.374 0.877
Hg: 0.001 0.001 0.997
Hg: 0.497 0.497 0.508
Pt: 0.936 0.437 0.189
Pt: 0.438 0.938 0.685
Pt: 0.437 0.437 0.189
Pt: 0.938 0.938 0.685
Pt: 0.188 0.188 0.437
Pt: 0.688 0.688 0.937
Pt: 0.437 0.936 0.189
Pt: 0.938 0.438 0.685



[23]
First-principles (PBE) data for a geometry-optimized DyHg2Pt structure, as listed in Alexandria.

Computed properties:
- energy relative to the elements (eV per atom) = -0.452
- space group = No. 225
- ρ (Mg/m³) = 14.95

a b c (Å): 4.921 4.921 4.921
angles (deg): 60.00 60.00 60.00
Element x y z (fractional)
Hg: 0.250 0.250 0.250
Hg: 0.750 0.750 0.750
Pt: 0.000 0.000 0.000
Dy: 0.500 0.500 0.500